# LiPmHoCr, optimized geometry, DFT PBE-GGA
# **Crystal system**: cubic
# **Raw total energy**: -5.0258 eV/atom
# **V**: 23.90 Å³ per atom
# **Formation enthalpy at 0 K**: 0.19 eV per atom
data_LiPmHoCr
_cell_length_a 7.2586
_cell_length_b 7.2586
_cell_length_c 7.2586
_cell_angle_alpha 90.00
_cell_angle_beta 90.00
_cell_angle_gamma 90.00
_symmetry_space_group_name_H-M 'F -4 3 m'
_symmetry_Int_Tables_number 216
_symmetry_space_group_name_Hall 'F -4 2 3'
loop_
_atom_site_label
_atom_site_fract_x
_atom_site_fract_y
_atom_site_fract_z
Li1 0.0000 0.0000 0.0000
Pm1 0.2500 0.2500 0.2500
Ho1 0.2500 0.2500 0.7500
Cr1 0.0000 0.0000 0.5000